one:
VASP calculation (PBE) on a relaxed structure of ZnHg3W.

Its crystal system is cubic. Its density of states at the Fermi level is 3.626 states/eV/f.u. The value obtained for the volume is 26.016 Å³/atom.

The space group is Pm-3m (No. 221) and the conventional cell measures 5.0668, 5.0668 and 5.0668 Å, with angles of 90.00, 90.00 and 90.00 degrees. Symmetry generates all atoms from Zn at (0.0000, 0.0000, 0.0000), Hg at (0.0000, 0.0000, 0.5000) and W at (0.5000, 0.5000, 0.5000).

two:
VASP calculation (PBE) on a relaxed structure of ZnHg3W.

Its crystal system is cubic. Its density of states at the Fermi level is 3.027 states/eV/f.u. The value obtained for the volume is 33.625 Å³/atom.

The space group is Pm-3m (No. 221) and the conventional cell measures 5.5192, 5.5192 and 5.5192 Å, with angles of 90.00, 90.00 and 90.00 degrees. Symmetry generates all atoms from Zn at (0.0000, 0.0000, 0.0000), Hg at (0.0000, 0.5000, 0.5000) and W at (0.5000, 0.5000, 0.5000).

Which one is most stable, and which one is least stable? two is the most stable of them, while one is the least stable.

one:
VASP calculation (PBE) on a relaxed structure of Zn2HgW2.

Its crystal system is tetragonal. Its density of states at the Fermi level is 3.343 states/eV/f.u. The value obtained for the volume is 17.394 Å³/atom.

The space group is P4/mbm (No. 127) and the conventional cell measures 7.4900, 7.4900 and 3.1005 Å, with angles of 90.00, 90.00 and 90.00 degrees. Symmetry generates all atoms from Zn at (0.1801, 0.3199, 0.0000), Hg at (0.0000, 0.0000, 0.5000) and W at (0.1154, 0.6154, 0.5000).

two:
VASP calculation (PBE) on a relaxed structure of Zn2HgW2.

Its crystal system is tetragonal. Its density of states at the Fermi level is 2.453 states/eV/f.u. The value obtained for the volume is 17.640 Å³/atom.

The space group is I4/mmm (No. 139) and the conventional cell measures 3.6882, 3.6882 and 12.9678 Å, with angles of 90.00, 90.00 and 90.00 degrees. Symmetry generates all atoms from Zn at (0.0000, 0.5000, 0.2500), Hg at (0.0000, 0.0000, 0.0000) and W at (0.0000, 0.0000, 0.4054).

Which one is most stable, and which one is least stable? one is the most stable of them, while two is the least stable.

one:
VASP calculation (PBE) on a relaxed structure of Zr3HgW.

Its crystal system is cubic. Its density of states at the Fermi level is 10.312 states/eV/f.u. The value obtained for the volume is 27.129 Å³/atom.

The space group is Pm-3m (No. 221) and the conventional cell measures 5.1381, 5.1381 and 5.1381 Å, with angles of 90.00, 90.00 and 90.00 degrees. Symmetry generates all atoms from Zr at (0.0000, 0.0000, 0.5000), Hg at (0.0000, 0.0000, 0.0000) and W at (0.5000, 0.5000, 0.5000).

two:
VASP calculation (PBE) on a relaxed structure of Zr3HgW.

Its crystal system is cubic. Its density of states at the Fermi level is 9.180 states/eV/f.u. The value obtained for the volume is 26.499 Å³/atom.

The space group is Pm-3m (No. 221) and the conventional cell measures 5.0980, 5.0980 and 5.0980 Å, with angles of 90.00, 90.00 and 90.00 degrees. Symmetry generates all atoms from Zr at (0.0000, 0.0000, 0.5000), Hg at (0.5000, 0.5000, 0.5000) and W at (0.0000, 0.0000, 0.0000).

Which one is most stable, and which one is least stable? two is the most stable of them, while one is the least stable.

one:
VASP calculation (PBE) on a relaxed structure of YHg7.

Its crystal system is tetragonal. Its density of states at the Fermi level is 2.453 states/eV/f.u. The value obtained for the volume is 24.984 Å³/atom.

The space group is I4/mmm (No. 139) and the conventional cell measures 4.5248, 4.5248 and 19.5242 Å, with angles of 90.00, 90.00 and 90.00 degrees. Symmetry generates all atoms from Y at (0.0000, 0.0000, 0.0000), Hg at (0.0000, 0.0000, 0.2519), Hg at (0.0000, 0.0000, 0.5000) and Hg at (0.0000, 0.5000, 0.1229).

two:
VASP calculation (PBE) on a relaxed structure of YHg7.

Its crystal system is cubic. Its density of states at the Fermi level is 4.770 states/eV/f.u. The value obtained for the volume is 25.668 Å³/atom.

The space group is Fm-3m (No. 225) and the conventional cell measures 9.3651, 9.3651 and 9.3651 Å, with angles of 90.00, 90.00 and 90.00 degrees. Symmetry generates all atoms from Y at (0.0000, 0.0000, 0.0000), Hg at (0.0000, 0.0000, 0.5000) and Hg at (0.0000, 0.2500, 0.2500).

Which one is most stable, and which one is least stable? one is the most stable of them, while two is the least stable.

one:
VASP calculation (PBE) on a relaxed structure of YHg4.

Its crystal system is orthorhombic. Its density of states at the Fermi level is 1.726 states/eV/f.u. The value obtained for the volume is 26.946 Å³/atom.

The space group is Pbam (No. 55) and the conventional cell measures 5.4838, 9.3066 and 5.2797 Å, with angles of 90.00, 90.00 and 90.00 degrees. Symmetry generates all atoms from Y at (0.0000, 0.0000, 0.0000), Hg at (0.0041, 0.3389, 0.0000) and Hg at (0.1637, 0.1542, 0.5000).

two:
VASP calculation (PBE) on a relaxed structure of YHg4.

Its crystal system is cubic. Its density of states at the Fermi level is 5.364 states/eV/f.u. The value obtained for the volume is 43.984 Å³/atom.

The space group is Pm-3m (No. 221) and the conventional cell measures 6.0361, 6.0361 and 6.0361 Å, with angles of 90.00, 90.00 and 90.00 degrees. Symmetry generates all atoms from Y at (0.0000, 0.0000, 0.0000), Hg at (0.0000, 0.0000, 0.5000) and Hg at (0.5000, 0.5000, 0.5000).

Which one is most stable, and which one is least stable? one is the most stable of them, while two is the least stable.

one:
VASP calculation (PBE) on a relaxed structure of YHg6.

Its crystal system is cubic. Its density of states at the Fermi level is 5.142 states/eV/f.u. The value obtained for the volume is 35.472 Å³/atom.

The space group is Im-3m (No. 229) and the conventional cell measures 7.9190, 7.9190 and 7.9190 Å, with angles of 90.00, 90.00 and 90.00 degrees. Symmetry generates all atoms from Y at (0.0000, 0.0000, 0.0000) and Hg at (0.0000, 0.2500, 0.5000).

two:
VASP calculation (PBE) on a relaxed structure of YHg6.

Its crystal system is tetragonal. Its density of states at the Fermi level is 3.487 states/eV/f.u. The value obtained for the volume is 25.885 Å³/atom.

The space group is P4/mmm (No. 123) and the conventional cell measures 4.8657, 4.8657 and 7.6533 Å, with angles of 90.00, 90.00 and 90.00 degrees. Symmetry generates all atoms from Y at (0.0000, 0.0000, 0.0000), Hg at (0.0000, 0.0000, 0.5000), Hg at (0.0000, 0.5000, 0.2723) and Hg at (0.5000, 0.5000, 0.0000).

Which one is most stable, and which one is least stable? two is the most stable of them, while one is the least stable.

one:
VASP calculation (PBE) on a relaxed structure of Y3Hg5.

Its crystal system is triclinic. Its density of states at the Fermi level is 6.215 states/eV/f.u. The value obtained for the volume is 25.552 Å³/atom.

The space group is P-1 (No. 2) and the conventional cell measures 6.1524, 8.5704 and 8.5862 Å, with angles of 87.60, 71.43 and 72.60 degrees. Symmetry generates all atoms from Y at (0.2390, 0.3139, 0.0068), Y at (0.2465, 0.4616, 0.5451), Y at (0.2516, 0.9926, 0.6900), Hg at (0.1358, 0.6432, 0.1912), Hg at (0.1462, 0.1816, 0.3690), Hg at (0.2551, 0.9548, 0.0439), Hg at (0.3683, 0.6294, 0.8155) and Hg at (0.3707, 0.8063, 0.3587).

two:
VASP calculation (PBE) on a relaxed structure of Y3Hg5.

Its crystal system is orthorhombic. Its density of states at the Fermi level is 4.875 states/eV/f.u. The value obtained for the volume is 25.188 Å³/atom.

The space group is Cmmm (No. 65) and the conventional cell measures 7.7889, 10.1715 and 5.0869 Å, with angles of 90.00, 90.00 and 90.00 degrees. Symmetry generates all atoms from Y at (0.0000, 0.0000, 0.0000), Y at (0.0000, 0.2852, 0.5000), Hg at (0.0000, 0.5000, 0.0000), Hg at (0.2173, 0.0000, 0.5000) and Hg at (0.2500, 0.2500, 0.0000).

Which one is most stable, and which one is least stable? two is the most stable of them, while one is the least stable.

one:
VASP calculation (PBE) on a relaxed structure of Y2ZnHg.

Its crystal system is cubic. Its density of states at the Fermi level is 4.461 states/eV/f.u. The value obtained for the volume is 24.301 Å³/atom.

The space group is F-43m (No. 216) and the conventional cell measures 7.2988, 7.2988 and 7.2988 Å, with angles of 90.00, 90.00 and 90.00 degrees. Symmetry generates all atoms from Y at (0.0000, 0.0000, 0.0000), Y at (0.2500, 0.2500, 0.2500), Zn at (0.0000, 0.0000, 0.5000) and Hg at (0.2500, 0.2500, 0.7500).

two:
VASP calculation (PBE) on a relaxed structure of Y2ZnHg.

Its crystal system is tetragonal. Its density of states at the Fermi level is 4.174 states/eV/f.u. The value obtained for the volume is 27.735 Å³/atom.

The space group is I-42d (No. 122) and the conventional cell measures 7.8894, 7.8894 and 7.1295 Å, with angles of 90.00, 90.00 and 90.00 degrees. Symmetry generates all atoms from Y at (0.2385, 0.2500, 0.1250), Zn at (0.0000, 0.0000, 0.0000) and Hg at (0.0000, 0.0000, 0.5000).

Which one is most stable, and which one is least stable? two is the most stable of them, while one is the least stable.

one:
VASP calculation (PBE) on a relaxed structure of Y2ZnHg.

Its crystal system is tetragonal. Its density of states at the Fermi level is 3.392 states/eV/f.u. The value obtained for the volume is 25.670 Å³/atom.

The space group is P4mm (No. 99) and the conventional cell measures 3.9400, 3.9400 and 6.6147 Å, with angles of 90.00, 90.00 and 90.00 degrees. Symmetry generates all atoms from Y at (0.0000, 0.0000, 0.0000), Y at (0.5000, 0.5000, 0.3229), Zn at (0.0000, 0.0000, 0.5124) and Hg at (0.5000, 0.5000, 0.7851).

two:
VASP calculation (PBE) on a relaxed structure of Y2ZnHg.

Its crystal system is monoclinic. Its density of states at the Fermi level is 3.478 states/eV/f.u. The value obtained for the volume is 24.376 Å³/atom.

The space group is P2/m (No. 10) and the conventional cell measures 3.6389, 3.6179 and 7.4063 Å, with angles of 90.00, 90.07 and 90.00 degrees. Symmetry generates all atoms from Y at (0.0003, 0.0000, 0.2352), Zn at (0.5000, 0.5000, 0.0000) and Hg at (0.5000, 0.5000, 0.5000).

three:
VASP calculation (PBE) on a relaxed structure of Y2ZnHg.

Its crystal system is cubic. Its density of states at the Fermi level is 4.612 states/eV/f.u. The value obtained for the volume is 24.629 Å³/atom.

The space group is Fm-3m (No. 225) and the conventional cell measures 7.3314, 7.3314 and 7.3314 Å, with angles of 90.00, 90.00 and 90.00 degrees. Symmetry generates all atoms from Y at (0.2500, 0.2500, 0.2500), Zn at (0.0000, 0.0000, 0.0000) and Hg at (0.0000, 0.0000, 0.5000).

four:
VASP calculation (PBE) on a relaxed structure of Y2ZnHg.

Its crystal system is trigonal. Its density of states at the Fermi level is 4.479 states/eV/f.u. The value obtained for the volume is 26.866 Å³/atom.

The space group is R-3m (No. 166, hexagonal axes) and the conventional cell measures 3.7383, 3.7383 and 26.6373 Å, with angles of 90.00, 90.00 and 120.00 degrees. Symmetry generates all atoms from Y at (0.0000, 0.0000, 0.2467), Zn at (0.0000, 0.0000, 0.5000) and Hg at (0.0000, 0.0000, 0.0000).

Which one is most stable, and which one is least stable? two is the most stable of them, while one is the least stable.

one:
VASP calculation (PBE) on a relaxed structure of Y2ZnHg.

Its crystal system is tetragonal. Its density of states at the Fermi level is 3.946 states/eV/f.u. The value obtained for the volume is 24.556 Å³/atom.

The space group is I-4m2 (No. 119) and the conventional cell measures 4.3805, 4.3805 and 10.2376 Å, with angles of 90.00, 90.00 and 90.00 degrees. Symmetry generates all atoms from Y at (0.0000, 0.0000, 0.0000), Y at (0.0000, 0.5000, 0.2500), Zn at (0.0000, 0.5000, 0.7500) and Hg at (0.0000, 0.0000, 0.5000).

two:
VASP calculation (PBE) on a relaxed structure of Y2ZnHg.

Its crystal system is orthorhombic. Its density of states at the Fermi level is 5.794 states/eV/f.u. The value obtained for the volume is 29.707 Å³/atom.

The space group is Immm (No. 71) and the conventional cell measures 3.3936, 5.6587 and 12.3761 Å, with angles of 90.00, 90.00 and 90.00 degrees. Symmetry generates all atoms from Y at (0.0000, 0.0000, 0.2399), Zn at (0.0000, 0.0000, 0.0000) and Hg at (0.0000, 0.0000, 0.5000).

Which one is most stable, and which one is least stable? one is the most stable of them, while two is the least stable.

one:
VASP calculation (PBE) on a relaxed structure of Y2ZnHg.

Its crystal system is monoclinic. Its density of states at the Fermi level is 4.347 states/eV/f.u. The value obtained for the volume is 26.965 Å³/atom.

The space group is P2/m (No. 10) and the conventional cell measures 4.9679, 3.7299 and 6.2144 Å, with angles of 90.00, 110.50 and 90.00 degrees. Symmetry generates all atoms from Y at (0.0000, 0.0000, 0.0000), Y at (0.5000, 0.5000, 0.5000), Zn at (0.0000, 0.0000, 0.5000) and Hg at (0.5000, 0.5000, 0.0000).

two:
VASP calculation (PBE) on a relaxed structure of Y2ZnHg.

Its crystal system is monoclinic. Its density of states at the Fermi level is 4.135 states/eV/f.u. The value obtained for the volume is 26.867 Å³/atom.

The space group is C2/m (No. 12) and the conventional cell measures 9.1972, 3.7189 and 6.4604 Å, with angles of 90.00, 103.42 and 90.00 degrees. Symmetry generates all atoms from Y at (0.2466, 0.0000, 0.2396), Zn at (0.0000, 0.5000, 0.0000) and Hg at (0.0000, 0.0000, 0.5000).

Which one is most stable, and which one is least stable? two is the most stable of them, while one is the least stable.